Record 1
VASP calculation (PBE) on a relaxed structure of AlVCoRh.

crystal system	cubic
size of the total moment	8.0	μB per cell
space-group type	F-43m
ΔE_f	-0.520	eV/atom

Unit cell a=5.928 b=5.928 c=5.928 alpha=90.00 beta=90.00 gamma=90.00
Positions (direct):
Al  0.000  0.000  0.000
Al  0.000  0.500  0.500
Al  0.500  0.000  0.500
Al  0.500  0.500  0.000
V  0.000  0.000  0.500
V  0.000  0.500  0.000
V  0.500  0.000  0.000
V  0.500  0.500  0.500
Co  0.250  0.250  0.750
Co  0.250  0.750  0.250
Co  0.750  0.250  0.250
Co  0.750  0.750  0.750
Rh  0.250  0.250  0.250
Rh  0.250  0.750  0.750
Rh  0.750  0.250  0.750
Rh  0.750  0.750  0.250

***

Record 2
VASP calculation (PBE) on a relaxed structure of LiIn.

crystal system	tetragonal
size of the total moment	0.0	μB per cell
space-group type	I4/mmm
ΔE_f	-0.206	eV/atom

Unit cell a=8.688 b=8.688 c=4.781 alpha=90.00 beta=90.00 gamma=90.00
Positions (direct):
Li  0.000  0.283  0.000
Li  0.000  0.717  0.000
Li  0.217  0.500  0.500
Li  0.283  0.000  0.000
Li  0.500  0.217  0.500
Li  0.500  0.783  0.500
Li  0.717  0.000  0.000
Li  0.783  0.500  0.500
In  0.171  0.171  0.500
In  0.171  0.829  0.500
In  0.329  0.329  0.000
In  0.329  0.671  0.000
In  0.671  0.329  0.000
In  0.671  0.671  0.000
In  0.829  0.171  0.500
In  0.829  0.829  0.500